{"formula": "HgI3Cl2", "functional": "PBE", "state": "optimized geometry", "lattice": [[6.695, -4.381, 0.000], [6.695, 4.381, 0.000], [-0.173, 0.000, 10.340]], "species": ["Hg", "Hg", "I", "I", "I", "I", "I", "I", "Cl", "Cl", "Cl", "Cl"], "frac_coords": [[0.197, 0.803, 0.750], [0.803, 0.197, 0.250], [0.146, 0.539, 0.060], [0.228, 0.772, 0.250], [0.461, 0.854, 0.440], [0.539, 0.146, 0.560], [0.772, 0.228, 0.750], [0.854, 0.461, 0.940], [0.060, 0.657, 0.622], [0.343, 0.940, 0.878], [0.657, 0.060, 0.122], [0.940, 0.343, 0.378]], "spacegroup": "C2/c (15)", "formation_energy_uncorrected_mev_per_atom": -243.2, "m_tot_mub_per_fu": 0.000}

=====

{"formula": "HgI2Cl", "functional": "PBE", "state": "optimized geometry", "lattice": [[-1.723, 7.155, 3.446], [1.723, -7.155, 3.446], [1.723, 7.155, -3.446]], "species": ["Hg", "I", "I", "Cl"], "frac_coords": [[0.000, 0.000, 0.000], [0.056, 0.220, 0.835], [0.385, 0.220, 0.165], [0.723, 0.223, 0.500]], "spacegroup": "Imm2 (44)", "formation_energy_uncorrected_mev_per_atom": -225.4, "m_tot_mub_per_fu": 0.000, "relative_energy_ev_per_atom": 0.085}

=====

{"formula": "HgICl2", "functional": "PBE", "state": "optimized geometry", "lattice": [[1.867, 1.078, 12.184], [-1.867, 1.078, 12.184], [0.000, -2.156, 12.184]], "species": ["Hg", "I", "Cl", "Cl"], "frac_coords": [[0.000, 0.000, 0.000], [0.500, 0.500, 0.500], [0.062, 0.062, 0.062], [0.938, 0.938, 0.938]], "spacegroup": "R-3m (166)", "formation_energy_uncorrected_mev_per_atom": -157.8, "m_tot_mub_per_fu": 0.000, "relative_energy_ev_per_atom": 0.272}

=====

{"formula": "Hg2ICl3", "functional": "PBE", "state": "optimized geometry", "lattice": [[4.326, 0.000, 0.000], [1.957, 9.532, 0.000], [1.074, 1.862, 11.190]], "species": ["Hg", "Hg", "Hg", "Hg", "I", "I", "Cl", "Cl", "Cl", "Cl", "Cl", "Cl"], "frac_coords": [[0.225, 0.385, 0.367], [0.239, 0.886, 0.875], [0.761, 0.114, 0.125], [0.775, 0.615, 0.633], [0.375, 0.035, 0.307], [0.625, 0.965, 0.693], [0.096, 0.189, 0.960], [0.131, 0.677, 0.472], [0.414, 0.556, 0.791], [0.586, 0.444, 0.209], [0.869, 0.323, 0.528], [0.904, 0.811, 0.040]], "spacegroup": "P-1 (2)", "formation_energy_uncorrected_mev_per_atom": -521.3, "m_tot_mub_per_fu": 0.000, "relative_energy_ev_per_atom": 0.000}